Ag3SbF6: relaxed, PBE.

Computed properties:
- Total energy: -3.91 eV per atom
- V: 16.7 Å³ per atom
- N(E_F): 0.0 states/eV per cell
- Formation energy from raw total energies: -15.213 eV per formula unit
- Space-group type: P2_1/c (14)

abc: 6.069 6.242 8.815
angles: 90.00 87.13 90.00
Sites, in units of the cell vectors:
1 Ag 0.527 0.934 0.761
2 Ag 0.027 0.566 0.261
3 Ag 0.500 0.500 0.000
4 Ag 0.000 0.000 0.500
5 Ag 0.473 0.066 0.239
6 Ag 0.973 0.434 0.739
7 F 0.203 0.323 0.443
8 F 0.335 0.783 0.410
9 F 0.797 0.677 0.557
10 F 0.642 0.421 0.272
11 F 0.142 0.079 0.772
12 F 0.358 0.579 0.728
13 F 0.835 0.717 0.910
14 F 0.665 0.217 0.590
15 F 0.297 0.823 0.057
16 F 0.703 0.177 0.943
17 F 0.165 0.283 0.090
18 F 0.858 0.921 0.228
19 Sb 0.500 0.500 0.500
20 Sb 0.000 0.000 0.000

---

AgSbF2: relaxed, PBE.

Computed properties:
- Total energy: -3.82 eV per atom
- V: 24.0 Å³ per atom
- N(E_F): 0.1 states/eV per cell
- Formation energy from raw total energies: -4.545 eV per formula unit
- Space-group type: I-42d (122)

abc: 6.560 6.560 6.560
angles: 99.53 99.53 131.97
Sites, in units of the cell vectors:
1 F 0.062 0.375 0.187
2 F 0.188 0.875 0.813
3 F 0.625 0.812 0.687
4 F 0.125 0.938 0.313
5 Ag 0.750 0.250 0.500
6 Ag 0.500 0.500 0.000
7 Sb 0.000 0.000 0.000
8 Sb 0.250 0.750 0.500

---

AgSbSe2F6: relaxed, PBE.

Computed properties:
- Total energy: -4.18 eV per atom
- V: 20.2 Å³ per atom
- Formation energy from raw total energies: -16.657 eV per formula unit
- Space-group type: C2/c (15)

abc: 12.633 12.633 10.881
angles: 64.72 64.72 52.50
Sites, in units of the cell vectors:
1 F 0.986 0.366 0.977
2 F 0.932 0.903 0.740
3 F 0.443 0.175 0.369
4 F 0.903 0.932 0.240
5 F 0.673 0.930 0.033
6 F 0.598 0.921 0.839
7 F 0.825 0.557 0.131
8 F 0.842 0.158 0.750
9 F 0.327 0.070 0.967
10 F 0.962 0.935 0.951
11 F 0.097 0.068 0.760
12 F 0.366 0.091 0.650
13 F 0.921 0.598 0.339
14 F 0.557 0.825 0.631
15 F 0.166 0.496 0.386
16 F 0.065 0.038 0.549
17 F 0.186 0.814 0.750
18 F 0.014 0.634 0.023
19 F 0.070 0.327 0.467
20 F 0.402 0.079 0.161
21 F 0.038 0.065 0.049
22 F 0.935 0.962 0.451
23 F 0.158 0.842 0.250
24 F 0.175 0.443 0.869
25 F 0.814 0.186 0.250
26 F 0.079 0.402 0.661
27 F 0.504 0.834 0.114
28 F 0.834 0.504 0.614
29 F 0.634 0.909 0.350
30 F 0.091 0.366 0.150
31 F 0.496 0.166 0.886
32 F 0.366 0.986 0.477
33 F 0.909 0.634 0.850
34 F 0.930 0.673 0.533
35 F 0.634 0.014 0.523
36 F 0.068 0.097 0.260
37 Ag 0.505 0.495 0.250
38 Ag 0.150 0.183 0.840
39 Ag 0.495 0.505 0.750
40 Ag 0.817 0.850 0.660
41 Ag 0.183 0.150 0.340
42 Ag 0.850 0.817 0.160
43 Sb 0.986 0.014 0.250
44 Sb 0.000 0.500 0.500
45 Sb 0.500 0.000 0.500
46 Sb 0.500 0.000 0.000
47 Sb 0.014 0.986 0.750
48 Sb 0.000 0.500 0.000
49 Se 0.715 0.380 0.900
50 Se 0.380 0.715 0.400
51 Se 0.585 0.619 0.465
52 Se 0.415 0.381 0.535
53 Se 0.381 0.415 0.035
54 Se 0.281 0.596 0.596
55 Se 0.596 0.281 0.096
56 Se 0.620 0.285 0.600
57 Se 0.619 0.585 0.965
58 Se 0.719 0.404 0.404
59 Se 0.404 0.719 0.904
60 Se 0.285 0.620 0.100